! AsN PBE relaxed; values from VASP
! - Energy above the lowest structure with this stoichiometry: 611 meV/atom
! - Spin magnetization: 0.00 Bohr magnetons per cell
! - E_form (uncorrected): 0.619 eV/atom
! - Energy: -5.87 eV per atom
&SYSTEM
  ibrav = 0, nat = 4, ntyp = 2
/
ATOMIC_SPECIES
As 74.92 As.upf
N 14.01 N.upf
CELL_PARAMETERS angstrom
2.9505 0.0095 0.3565
1.4464 2.5731 0.3469
-0.1355 -0.1291 10.0446
ATOMIC_POSITIONS crystal
As 0.7460 0.7490 0.7798
As 0.2540 0.2510 0.2202
N 0.1039 0.1020 0.6841
N 0.8961 0.8980 0.3159